A plane-wave DFT calculation with PBE was carried out for a relaxed structure of CeTm3Cu2.

Summary:
Its calculated density is 9139 kg/m3. The formation energy comes out at -0.15 eV per atom. For the energy, the calculation gives -4.7446 eV/atom. The value obtained for the volume is 140.6 Å³/cell.

Lattice parameters (Å, degrees): 3.4215 3.4215 12.0128 90.00 90.00 90.00
Last column: nearest neighbours and their distance in Å.
Space group P4/mmm (No. 123)
Asymmetric unit:
Ce 0.0000 0.0000 0.0000 (multiplicity 1)  4 Ce 3.42, 8 Tm 3.56
Tm 0.5000 0.5000 0.2177 (multiplicity 2)  4 Cu 2.94
Tm 0.5000 0.5000 0.5000 (multiplicity 1)  8 Cu 2.97
Cu 0.0000 0.0000 0.3560 (multiplicity 2)  8 Tm 2.94-2.97

***

A plane-wave DFT calculation with PBE was carried out for a relaxed structure of NiOs2BrCl.

Summary:
Its calculated density is 9116 kg/m3. For the energy, the calculation gives -4.5379 eV/atom. The uncorrected formation energy is 1814 meV/atom. The value obtained for the volume is 101.0 Å³/cell.

Lattice parameters (Å, degrees): 4.7281 4.7281 4.5183 90.00 90.00 90.00
Last column: nearest neighbours and their distance in Å.
Space group P4/mmm (No. 123)
Asymmetric unit:
Ni 0.0000 0.0000 0.0000 (multiplicity 1)  2 Cl 2.26, 4 Os 2.36
Os 0.0000 0.5000 0.0000 (multiplicity 2)  2 Ni 2.36
Br 0.5000 0.5000 0.5000 (multiplicity 1)  8 Os 3.27, 4 Cl 3.34
Cl 0.0000 0.0000 0.5000 (multiplicity 1)  2 Ni 2.26

***

A plane-wave DFT calculation with PBE was carried out for a relaxed structure of Pu3Ge4Au2.

Summary:
Its calculated density is 11894 kg/m3. The formation energy comes out at -0.41 eV per atom. For the energy, the calculation gives -7.9724 eV/atom. The value obtained for the volume is 395.5 Å³/cell.

Lattice parameters (Å, degrees): 10.9297 4.4342 8.5328 90.00 106.97 90.00
Last column: nearest neighbours and their distance in Å.
Space group C2/m (No. 12)
Asymmetric unit:
Pu 0.0000 0.0000 0.0000 (multiplicity 2)  8 Ge 3.11-3.32, 4 Au 3.34
Pu 0.1581 0.5000 0.6747 (multiplicity 4)  7 Ge 2.99-3.32, 4 Au 3.16-3.24
Ge 0.0518 0.0000 0.3852 (multiplicity 4)  1 Ge 2.53, 2 Au 2.57
Ge 0.2062 0.5000 0.0379 (multiplicity 4)  1 Au 2.56, 2 Ge 2.57
Au 0.1300 0.5000 0.2946 (multiplicity 4)  3 Ge 2.56-2.57

***

A plane-wave DFT calculation with PBE was carried out for a relaxed structure of BeTc2Te.

Summary:
Its calculated density is 7483 kg/m3. The offset from the most stable computed form comes out at 0.501 eV/f.u. For the energy, the calculation gives -6.6421 eV/atom. The uncorrected formation energy is 258 meV/atom. The value obtained for the volume is 73.8 Å³/cell.

Lattice parameters (Å, degrees): 3.0066 3.0066 8.1647 90.00 90.00 90.00
Last column: nearest neighbours and their distance in Å.
Space group P4mm (No. 99)
Asymmetric unit:
Be 0.0000 0.0000 0.0000 (multiplicity 1)  4 Tc 2.40
Tc 0.0000 0.0000 0.3330 (multiplicity 1)  4 Tc 2.67, 1 Be 2.72, 4 Te 2.85
Tc 0.5000 0.5000 0.1353 (multiplicity 1)  4 Be 2.40, 4 Tc 2.67
Te 0.5000 0.5000 0.5646 (multiplicity 1)  4 Tc 2.85, 4 Te 3.01